# 1
A plane-wave DFT calculation with GGA-PBE was carried out for a relaxed structure of Tb2Pm4NdHo2.

Lattice parameters (Å, degrees): 5.0910 8.0653 8.0575 107.43 90.00 108.40
Last column: nearest neighbours and their distance in Å.
Fractional coordinates of all 9 atoms:
1 Ho 0.6681 0.3361 0.9994  5 Pm 3.57-3.63, 2 Ho 3.57, 3 Tb 3.59, 2 Nd 3.62
2 Ho 0.3319 0.6639 0.0006  5 Pm 3.57-3.63, 2 Ho 3.57, 3 Tb 3.59, 2 Nd 3.62
3 Pm 0.7771 0.5543 0.6680  3 Ho 3.57-3.60, 3 Tb 3.59-3.62, 1 Nd 3.61, 5 Pm 3.62
4 Pm 0.5547 0.1095 0.3326  2 Nd 3.60, 4 Pm 3.60-3.62, 4 Tb 3.60-3.61, 2 Ho 3.61-3.63
5 Pm 0.2229 0.4457 0.3320  3 Ho 3.57-3.60, 3 Tb 3.59-3.62, 1 Nd 3.61, 5 Pm 3.62
6 Pm 0.4453 0.8905 0.6674  2 Nd 3.60, 4 Pm 3.60-3.62, 4 Tb 3.60-3.61, 2 Ho 3.61-3.63
7 Nd 0.0000 0.0000 0.0000  6 Pm 3.60-3.61, 2 Tb 3.60, 4 Ho 3.62
8 Tb 0.1114 0.2229 0.6675  3 Ho 3.59, 7 Pm 3.59-3.62, 1 Nd 3.60, 1 Tb 3.62
9 Tb 0.8886 0.7771 0.3325  3 Ho 3.59, 7 Pm 3.59-3.62, 1 Nd 3.60, 1 Tb 3.62

Volume (Å³ per cell): 297.9
Space-group type: No. 12
DOS(E_F) (states/eV per cell): 13.02
Energy relative to the elements (eV per atom): 0.02
M_tot (μB/cell): 0.00

---

# 2
A plane-wave DFT calculation with GGA-PBE was carried out for a relaxed structure of La3AlIn2.

Lattice parameters (Å, degrees): 5.5224 5.5224 13.5586 90.00 90.00 120.00
Last column: nearest neighbours and their distance in Å.
Fractional coordinates of all 12 atoms:
1 La 0.0000 0.0000 0.2549  5 In 3.32-3.46, 3 Al 3.37
2 La 0.3333 0.6667 0.9118  1 Al 3.35, 7 In 3.36-3.45
3 La 0.6667 0.3333 0.0882  1 Al 3.35, 7 In 3.36-3.45
4 La 0.0000 0.0000 0.7451  5 In 3.32-3.46, 3 Al 3.37
5 La 0.3333 0.6667 0.4170  4 Al 3.36-3.38, 4 In 3.38-3.40
6 La 0.6667 0.3333 0.5830  4 Al 3.36-3.38, 4 In 3.38-3.40
7 In 0.3333 0.6667 0.1659  8 La 3.36-3.45
8 In 0.0000 0.0000 0.0000  8 La 3.41-3.46
9 In 0.6667 0.3333 0.8341  8 La 3.36-3.45
10 In 0.0000 0.0000 0.5000  8 La 3.32-3.38
11 Al 0.6667 0.3333 0.3350  8 La 3.35-3.38
12 Al 0.3333 0.6667 0.6650  8 La 3.35-3.38

Volume (Å³ per cell): 358.1
Space-group type: No. 164
DOS(E_F) (states/eV per cell): 6.46
Energy relative to the elements (eV per atom): -0.45
M_tot (μB/cell): 0.00

---

Q: Among the records above, which one has the lowest energy relative to the elements?
A: La3AlIn2

---

Q: Look up the M_tot of the first one.
A: 0.00 μB/cell

---

Q: Look up the M_tot of the second one.
A: 0.00 μB/cell